# 1
Here is a geometry-optimized LiPm2PuTe5 structure from Alexandria via LeMat-Bulk. Energies are from PBE-GGA.

Cell: 4.4087 9.5855 13.2497 Å, 90.00 90.00 103.30°
With the nearest neighbours (Å) after each atom.
Element x y z (fractional)
Li: 0.5553 0.1106 0.9638  4 Te 2.65-2.93
Li: 0.4447 0.8894 0.4638  4 Te 2.65-2.93
Pm: 0.8733 0.7466 0.8022  8 Te 3.22-3.52
Pm: 0.1073 0.2145 0.6849  8 Te 3.23-3.38
Pm: 0.1267 0.2534 0.3022  8 Te 3.22-3.52
Pm: 0.8927 0.7855 0.1849  8 Te 3.23-3.38
Pu: 0.7997 0.5994 0.5072  6 Te 2.99-3.11
Pu: 0.2003 0.4006 0.0072  6 Te 2.99-3.11
Te: 0.3666 0.7332 0.9989  1 Pu 3.10, 4 Pm 3.34-3.42
Te: 0.6870 0.3740 0.8428  1 Li 2.93, 2 Pu 3.11
Te: 0.4978 0.9957 0.7806  1 Li 2.65
Te: 0.2852 0.5705 0.6689  2 Pu 3.09, 3 Pm 3.27-3.33
Te: 0.9525 0.9051 0.5748  2 Li 2.65
Te: 0.6334 0.2668 0.4989  1 Pu 3.10, 4 Pm 3.34-3.42
Te: 0.3130 0.6260 0.3428  1 Li 2.93, 2 Pu 3.11
Te: 0.5022 0.0043 0.2806  1 Li 2.65
Te: 0.7148 0.4295 0.1689  2 Pu 3.09, 3 Pm 3.27-3.33
Te: 0.0475 0.0949 0.0748  2 Li 2.65

Summary:
Its calculated volume is 30.27 Å³ per atom. The spin magnetization is 10.00 Bohr magnetons per cell. The value obtained for the total energy is -5.79 eV/atom. The value obtained for the theoretical density is 7.19 g/cm3.



# 2
Here is a geometry-optimized PuThSc2 structure from Alexandria via LeMat-Bulk. Energies are from PBE-GGA.

Cell: 3.3665 3.3665 9.4656 Å, 90.00 90.00 90.00°
With the nearest neighbours (Å) after each atom.
Element x y z (fractional)
Sc: 0.0000 0.0000 0.7568  4 Pu 3.31, 4 Sc 3.37, 4 Th 3.40
Sc: 0.0000 0.0000 0.2432  4 Pu 3.31, 4 Sc 3.37, 4 Th 3.40
Th: 0.5000 0.5000 0.5000  4 Th 3.37, 8 Sc 3.40
Pu: 0.5000 0.5000 0.0000  8 Sc 3.31, 4 Pu 3.37

Summary:
Its calculated volume is 26.82 Å³ per atom. The spin magnetization is 6.05 Bohr magnetons per cell. The value obtained for the total energy is -8.50 eV/atom. The value obtained for the theoretical density is 8.76 g/cm3.



# 3
Here is a geometry-optimized Ce8GaCu2 structure from Alexandria via LeMat-Bulk. Energies are from PBE-GGA.

Cell: 3.2204 9.8450 9.6646 Å, 120.49 99.59 90.00°
With the nearest neighbours (Å) after each atom.
Element x y z (fractional)
Cu: 0.1619 0.6621 0.3239  6 Ce 2.88-3.17, 2 Cu 3.22
Cu: 0.8381 0.3379 0.6761  6 Ce 2.88-3.17, 2 Cu 3.22
Ga: 0.5000 0.0000 0.0000  2 Ga 3.22, 8 Ce 3.22-3.28
Ce: 0.6591 0.9017 0.3182  2 Cu 2.88, 6 Ce 3.01-3.22
Ce: 0.3408 0.5831 0.6816  2 Cu 2.88, 6 Ce 3.01-3.22
Ce: 0.1707 0.1708 0.3413  6 Ce 3.01-3.22, 2 Cu 3.17, 2 Ga 3.22
Ce: 0.9999 0.2899 0.9999  6 Ce 3.07-3.22, 2 Ga 3.28, 2 Cu 3.35-3.36
Ce: 0.8293 0.8292 0.6587  6 Ce 3.01-3.22, 2 Cu 3.17, 2 Ga 3.22
Ce: 0.6592 0.4169 0.3184  2 Cu 2.88, 6 Ce 3.01-3.22
Ce: 0.3409 0.0983 0.6818  2 Cu 2.88, 6 Ce 3.01-3.22
Ce: 0.0001 0.7101 0.0001  6 Ce 3.07-3.22, 2 Ga 3.28, 2 Cu 3.35-3.36

Summary:
Its calculated volume is 23.55 Å³ per atom. The spin magnetization is 0.00 Bohr magnetons per cell. The value obtained for the total energy is -5.33 eV/atom. The value obtained for the theoretical density is 8.45 g/cm3.



# 4
Here is a geometry-optimized SrTi2BeI structure from Alexandria via LeMat-Bulk. Energies are from PBE-GGA.

Cell: 6.0382 6.0670 6.0382 Å, 90.00 90.00 90.00°
With the nearest neighbours (Å) after each atom.
Element x y z (fractional)
I: 0.0000 0.5000 0.0000  2 Sr 3.03
Sr: 0.0000 0.0000 0.0000  4 Ti 3.02, 2 I 3.03
Be: 0.5000 0.5000 0.5000  4 I 4.27, 8 Ti 4.28
Ti: 0.0000 0.0000 0.5000  2 Sr 3.02
Ti: 0.5000 0.0000 0.0000  2 Sr 3.02

Summary:
Its calculated volume is 44.24 Å³ per atom. The spin magnetization is 6.59 Bohr magnetons per cell. The value obtained for the total energy is -2.60 eV/atom. The value obtained for the theoretical density is 2.40 g/cm3.



- The highest calculated volume belongs to which entry?
  SrTi2BeI



Repeat the second record exactly.
Here is a geometry-optimized PuThSc2 structure from Alexandria via LeMat-Bulk. Energies are from PBE-GGA.

Cell: 3.3665 3.3665 9.4656 Å, 90.00 90.00 90.00°
With the nearest neighbours (Å) after each atom.
Element x y z (fractional)
Sc: 0.0000 0.0000 0.7568  4 Pu 3.31, 4 Sc 3.37, 4 Th 3.40
Sc: 0.0000 0.0000 0.2432  4 Pu 3.31, 4 Sc 3.37, 4 Th 3.40
Th: 0.5000 0.5000 0.5000  4 Th 3.37, 8 Sc 3.40
Pu: 0.5000 0.5000 0.0000  8 Sc 3.31, 4 Pu 3.37

Summary:
Its calculated volume is 26.82 Å³ per atom. The spin magnetization is 6.05 Bohr magnetons per cell. The value obtained for the total energy is -8.50 eV/atom. The value obtained for the theoretical density is 8.76 g/cm3.